(1)
DFT (GGA-PBE) results for a geometry-optimized Tb8Tl2Bi structure.

Structure (POSCAR):
```
Tb8Tl2Bi
1.0
5.694 -0.268 -0.402
-1.313 8.436 -0.585
-1.313 -3.789 7.560
Tb Tl Bi
8 2 1
Direct
0.705 0.404 0.404
0.122 0.319 0.092
0.878 0.681 0.908
0.500 0.776 0.224
0.878 0.908 0.681
0.500 0.224 0.776
0.122 0.092 0.319
0.295 0.596 0.596
0.000 0.306 0.694
0.000 0.694 0.306
0.500 0.000 0.000
```

Computed properties:
DOS at the Fermi energy: 1.30 states/eV per atom
Electronic total energy: -4.30 eV/atom
Calculated formation energy: -152.2 meV/atom
Space group: C2/m

=====

(2)
DFT (GGA-PBE) results for a geometry-optimized CuSb2Se3 structure.

Structure (POSCAR):
```
CuSb2Se3
1.0
6.223 0.000 0.000
0.000 7.584 0.853
0.000 -2.972 7.029
Cu Se Sb
2 6 4
Direct
0.070 0.830 0.830
0.570 0.170 0.170
0.947 0.848 0.536
0.947 0.536 0.848
0.447 0.152 0.464
0.943 0.094 0.094
0.447 0.464 0.152
0.443 0.906 0.906
0.026 0.199 0.457
0.526 0.801 0.543
0.526 0.543 0.801
0.026 0.457 0.199
```

Computed properties:
DOS at the Fermi energy: 0.31 states/eV per atom
Electronic total energy: -3.90 eV/atom
Energy relative to the lowest polymorph listed for this composition: 0.0000 eV/atom
E_form (uncorrected): -105 meV/atom
Space group: Cmc2_1